KTlTe2 PBE optimized geometry; total energy = -11.31 eV/cell; space-group type = R-3m
1.0
-5.773 0.403 -6.618
-2.087 -1.447 -8.417
-4.961 -3.988 -6.065
Tl Te K
1 2 1
Cartesian
-3.206 -1.258 -5.275
-12.639 -4.960 -20.798
-6.595 -2.588 -10.852
-9.617 -3.774 -15.825